Record 1
Material: K2InAsCl6
Method: DFT, PBE
State: relaxed

Values from the calculation:
Total magnetic moment ... 0.00 μB per formula unit
Formation energy (no corrections) ... -1.20 eV/atom
V ... 31.85 Å³ per atom

The structure in CIF format:
```
data_K2InAsCl6
_chemical_formula_sum 'K8 In4 As4 Cl24'
_cell_length_a 10.841
_cell_length_b 10.841
_cell_length_c 10.841
_cell_angle_alpha 90.00
_cell_angle_beta 90.00
_cell_angle_gamma 90.00
_symmetry_space_group_name_H-M 'F m -3 m'
_symmetry_Int_Tables_number 225
_symmetry_space_group_name_Hall '-F 4 2 3'
loop_
_atom_site_label
_atom_site_type_symbol
_atom_site_fract_x
_atom_site_fract_y
_atom_site_fract_z
K1 K 0.250 0.250 0.250
In1 In 0.000 0.000 0.000
As1 As 0.000 0.000 0.500
Cl1 Cl 0.000 0.000 0.267
```

***

Record 2
Material: MnInAsCl2
Method: DFT, PBE
State: relaxed

Values from the calculation:
Total magnetic moment ... 3.96 μB per formula unit
Formation energy (no corrections) ... -0.34 eV/atom
V ... 23.65 Å³ per atom
Fermi-level density of states ... 0.46 states/eV per atom

The structure in CIF format:
```
data_MnInAsCl2
_chemical_formula_sum 'Mn1 In1 As1 Cl2'
_cell_length_a 4.683
_cell_length_b 4.683
_cell_length_c 5.393
_cell_angle_alpha 90.00
_cell_angle_beta 90.00
_cell_angle_gamma 90.00
_symmetry_space_group_name_H-M 'P 4/m m m'
_symmetry_Int_Tables_number 123
_symmetry_space_group_name_Hall '-P 4 2'
loop_
_atom_site_label
_atom_site_type_symbol
_atom_site_fract_x
_atom_site_fract_y
_atom_site_fract_z
Mn1 Mn 0.000 0.000 0.000
In1 In 0.500 0.500 0.500
As1 As 0.000 0.000 0.500
Cl1 Cl 0.000 0.500 0.000
```

***

Record 3
Material: Nb2InAsCl
Method: DFT, PBE
State: relaxed

Values from the calculation:
Total magnetic moment ... 0.00 μB per formula unit
Formation energy (no corrections) ... 0.89 eV/atom
V ... 22.58 Å³ per atom
Fermi-level density of states ... 1.18 states/eV per atom

The structure in CIF format:
```
data_Nb2InAsCl
_chemical_formula_sum 'Nb2 In1 As1 Cl1'
_cell_length_a 4.562
_cell_length_b 4.562
_cell_length_c 5.425
_cell_angle_alpha 90.00
_cell_angle_beta 90.00
_cell_angle_gamma 90.00
_symmetry_space_group_name_H-M 'P 4/m m m'
_symmetry_Int_Tables_number 123
_symmetry_space_group_name_Hall '-P 4 2'
loop_
_atom_site_label
_atom_site_type_symbol
_atom_site_fract_x
_atom_site_fract_y
_atom_site_fract_z
Nb1 Nb 0.000 0.500 0.000
In1 In 0.000 0.000 0.500
As1 As 0.500 0.500 0.500
Cl1 Cl 0.000 0.000 0.000
```

***

Record 4
Material: InAsClO4
Method: DFT, PBE
State: relaxed

Values from the calculation:
Total magnetic moment ... 0.00 μB per formula unit
Formation energy (no corrections) ... -1.04 eV/atom
V ... 16.19 Å³ per atom
Fermi-level density of states ... 0.00 states/eV per atom

The structure in CIF format:
```
data_InAsClO4
_chemical_formula_sum 'In4 As4 Cl4 O16'
_cell_length_a 11.086
_cell_length_b 6.399
_cell_length_c 6.538
_cell_angle_alpha 90.00
_cell_angle_beta 102.16
_cell_angle_gamma 90.00
_symmetry_space_group_name_H-M 'C 1 2/m 1'
_symmetry_Int_Tables_number 12
loop_
_symmetry_equiv_pos_as_xyz
'x,y,z'
'-x,-y,-z'
'-x,y,-z'
'x,-y,z'
'x+1/2,y+1/2,z'
'-x+1/2,-y+1/2,-z'
'-x+1/2,y+1/2,-z'
'x+1/2,-y+1/2,z'
loop_
_atom_site_label
_atom_site_type_symbol
_atom_site_fract_x
_atom_site_fract_y
_atom_site_fract_z
In1 In 0.204 0.000 0.348
As1 As 0.144 0.000 0.789
Cl1 Cl 0.023 0.500 0.362
O1 O 0.010 0.000 0.227
O2 O 0.190 0.198 0.635
O3 O 0.233 0.000 0.034
```